Computed, not measured: a relaxed Th2Be3Si4Ir crystal at the PBE level of DFT.

Properties
The calculation puts the energy at -62.04 eV per cell. As for the total moment: 0.00 μB/f.u. As for the symmetry: P-4m2, No. 115. The value obtained for the raw formation energy is -0.5469 eV/atom.

Cell: 4.075 4.075 9.640 Å, 90.00 90.00 90.00°
Positions (direct):
Th (0.500, 0.000, 0.246)
Th (0.000, 0.500, 0.754)
Be (0.000, 0.000, 0.500)
Be (0.500, 0.000, 0.875)
Be (0.000, 0.500, 0.125)
Si (0.500, 0.500, 0.000)
Si (0.000, 0.000, 0.000)
Si (0.500, 0.000, 0.635)
Si (0.000, 0.500, 0.365)
Ir (0.500, 0.500, 0.500)